Compound: Mn2TcPt
Source: Alexandria
Functional: PBE
Structure: relaxed

Results
M_tot = 1.4937 μB per atom
formation energy from the elements = 0.010 eV per atom
uncorrected energy = -34.71 eV for the cell shown
DOS(E_F) = 0.90 states/eV/atom
offset from the most stable computed form = 12.9 kJ per mole of atoms

Cell: 8.629 8.629 8.629 Å, 18.60 18.60 18.60°
Site moments in Bohr magnetons follow the coordinates.
Atoms (fractional coordinates):
Mn1 0.003 0.003 0.003  3.02
Mn2 0.497 0.497 0.497  3.02
Pt1 0.250 0.250 0.250  0.27
Tc1 0.750 0.750 0.750  -0.51

Compound: Mn2TcPt
Source: Alexandria
Functional: PBE
Structure: relaxed

Results
M_tot = 0.1761 μB per atom
formation energy from the elements = -0.093 eV per atom
uncorrected energy = -35.12 eV for the cell shown
DOS(E_F) = 1.01 states/eV/atom
offset from the most stable computed form = 3.0 kJ per mole of atoms

Cell: 3.808 2.675 5.988 Å, 63.42 90.00 90.00°
Site moments in Bohr magnetons follow the coordinates.
Atoms (fractional coordinates):
Mn1 0.000 0.999 0.001  -2.20
Mn2 0.500 0.262 0.238  2.69
Pt1 0.000 0.506 0.494  0.04
Tc1 0.500 0.732 0.767  0.17

Compound: MnTc2Pt
Source: Alexandria
Functional: PBE
Structure: relaxed

Results
M_tot = 0.4227 μB per atom
formation energy from the elements = -0.028 eV per atom
uncorrected energy = -36.06 eV for the cell shown
DOS(E_F) = 1.07 states/eV/atom
offset from the most stable computed form = 6.3 kJ per mole of atoms

Cell: 5.984 4.774 2.682 Å, 89.96 63.44 120.08°
Site moments in Bohr magnetons follow the coordinates.
Atoms (fractional coordinates):
Mn1 0.000 0.500 0.500  2.25
Pt1 0.500 0.500 0.000  -0.03
Tc1 0.000 0.000 0.000  -0.29
Tc2 0.500 0.000 0.500  -0.29

Compound: Mn2TcPt9
Source: Alexandria
Functional: PBE
Structure: relaxed

Results
M_tot = 0.8617 μB per atom
formation energy from the elements = -0.259 eV per atom
uncorrected energy = -86.17 eV for the cell shown
DOS(E_F) = 1.07 states/eV/atom

Cell: 3.937 3.937 11.843 Å, 90.00 90.00 90.00°
Site moments in Bohr magnetons follow the coordinates.
Atoms (fractional coordinates):
Mn1 0.000 0.000 0.336  3.87
Mn2 0.000 0.000 0.664  3.87
Tc1 0.000 0.000 0.000  0.70
Pt1 0.500 0.500 0.000  0.14
Pt2 0.500 0.500 0.333  0.22
Pt3 0.500 0.500 0.667  0.22
Pt4 0.500 0.000 0.165  0.14
Pt5 0.500 0.000 0.500  0.21
Pt6 0.500 0.000 0.835  0.14
Pt7 0.000 0.500 0.165  0.14
Pt8 0.000 0.500 0.500  0.21
Pt9 0.000 0.500 0.835  0.14

Compound: Mn2Tc2Pt
Source: Alexandria
Functional: PBE
Structure: relaxed

Results
M_tot = 0.0000 μB per atom
formation energy from the elements = 0.019 eV per atom
uncorrected energy = -90.03 eV for the cell shown
DOS(E_F) = 0.82 states/eV/atom

Cell: 6.964 6.964 2.765 Å, 90.00 90.00 90.00°
Atoms (fractional coordinates):
Mn1 0.370 0.870 0.000
Mn2 0.870 0.630 0.000
Mn3 0.630 0.130 0.000
Mn4 0.130 0.370 0.000
Tc1 0.167 0.667 0.500
Tc2 0.667 0.833 0.500
Tc3 0.833 0.333 0.500
Tc4 0.333 0.167 0.500
Pt1 0.000 0.000 0.000
Pt2 0.500 0.500 0.000

Compound: MnTc2Pt
Source: Alexandria
Functional: PBE
Structure: relaxed

Results
M_tot = 0.6759 μB per atom
formation energy from the elements = 0.123 eV per atom
uncorrected energy = -35.45 eV for the cell shown
DOS(E_F) = 0.73 states/eV/atom
offset from the most stable computed form = 20.9 kJ per mole of atoms

Cell: 4.376 4.376 4.376 Å, 60.00 60.00 60.00°
Site moments in Bohr magnetons follow the coordinates.
Atoms (fractional coordinates):
Mn1 0.500 0.500 0.500  3.43
Pt1 0.750 0.750 0.750  -0.12
Tc1 0.000 0.000 0.000  -0.86
Tc2 0.250 0.250 0.250  0.18

Compound: MnTc2Pt
Source: Alexandria
Functional: PBE
Structure: relaxed

Results
M_tot = 0.7169 μB per atom
formation energy from the elements = -0.071 eV per atom
uncorrected energy = -36.22 eV for the cell shown
DOS(E_F) = 0.95 states/eV/atom
offset from the most stable computed form = 2.2 kJ per mole of atoms

Cell: 2.763 2.763 7.594 Å, 90.00 90.00 90.00°
Site moments in Bohr magnetons follow the coordinates.
Atoms (fractional coordinates):
Mn1 0.000 0.000 0.493  3.05
Pt1 0.500 0.500 0.744  0.06
Tc1 0.000 0.000 0.012  -0.02
Tc2 0.500 0.500 0.251  -0.30

Compound: MnTcPt
Source: Alexandria
Functional: PBE
Structure: relaxed

Results
M_tot = 0.4053 μB per atom
formation energy from the elements = 0.277 eV per atom
uncorrected energy = -24.75 eV for the cell shown
DOS(E_F) = 1.45 states/eV/atom
offset from the most stable computed form = 35.7 kJ per mole of atoms

Cell: 4.082 4.082 4.082 Å, 60.00 60.00 60.00°
Site moments in Bohr magnetons follow the coordinates.
Atoms (fractional coordinates):
Mn1 0.750 0.750 0.750  2.23
Pt1 0.000 0.000 0.000  0.09
Tc1 0.500 0.500 0.500  -1.02